The following is a DFT calculation (PBE-GGA) of a relaxed LaMnPd2 crystal.

**Total moment**: 3.8 μB/f.u.
**Electronic total energy**: -49.72 eV/cell
**N(E_F)**: 1.8 states/eV/f.u.
**Energy of formation from the pure elements**: -95 meV/atom

Geometry as extended XYZ:
```
8
Lattice="4.710 0.000 0.000 0.000 4.710 0.000 2.355 2.355 8.519" Properties=species:S:1:pos:R:3 pbc="T T T"
Mn 2.355 2.355 0.000
Mn 2.355 4.710 4.259
Pd 2.991 1.178 2.130
Pd 1.719 3.533 2.130
Pd 3.533 4.074 6.389
Pd 5.888 5.346 6.389
La 0.000 0.000 0.000
La 4.710 2.355 4.259
```